LiPtS2Cl | PBE | optimized geometry

The calculation puts the density of states at the Fermi level at 7.18 states/eV/f.u. The total energy comes out at -14.888 eV/cell. The theoretical density is 5.81 g/cm3.

The space group is P4/mmm (No. 123) and the conventional cell measures 4.507, 4.507 and 4.245 Å, with angles of 90.00, 90.00 and 90.00 degrees. The inequivalent atoms are Li at (0.000, 0.000, 0.000), Pt at (0.500, 0.500, 0.500), S at (0.000, 0.500, 0.000) and Cl at (0.000, 0.000, 0.500).


Nd3HoPu2Se6 | PBE | optimized geometry

The calculation puts the density of states at the Fermi level at 19.66 states/eV/f.u. The total energy comes out at -178.538 eV/cell. The theoretical density is 8.41 g/cm3.

The space group is C2/m (No. 12) and the conventional cell measures 7.199, 12.472 and 7.270 Å, with angles of 90.00, 109.27 and 90.00 degrees. The inequivalent atoms are Nd at (0.000, 0.000, 0.000), Nd at (0.000, 0.332, 0.000), Ho at (0.000, 0.500, 0.500), Pu at (0.000, 0.166, 0.500), Se at (0.244, 0.335, 0.739) and Se at (0.249, 0.500, 0.258).


V4Mo2Rh | PBE | optimized geometry

The calculation puts the density of states at the Fermi level at 10.17 states/eV/f.u. The theoretical density is 6.65 g/cm3. Its calculated formation energy is 1098 meV/atom.

The space group is I4/mmm (No. 139) and the conventional cell measures 4.482, 4.482 and 12.385 Å, with angles of 90.00, 90.00 and 90.00 degrees. The inequivalent atoms are V at (0.000, 0.000, 0.197), V at (0.000, 0.500, 0.000), Mo at (0.000, 0.000, 0.379) and Rh at (0.000, 0.000, 0.000).